1.
NbBP2O: optimized geometry, PBE. Values from VASP.

Properties
Space group   P4/mmm
Raw total energy   -0.2425 Ha/atom
Formation energy from raw total energies   -0.0945 eV/atom
Calculated density   4.6 g/cm³
Relative energy among the computed polymorphs   0 meV/atom

```
&SYSTEM
  ibrav = 0, nat = 5, ntyp = 4
/
ATOMIC_SPECIES
Nb 92.91 Nb.upf
B 10.81 B.upf
P 30.97 P.upf
O 16.00 O.upf
CELL_PARAMETERS angstrom
4.991 0.000 0.000
0.000 4.991 0.000
0.000 0.000 2.655
ATOMIC_POSITIONS crystal
Nb 0.000 0.000 0.000
B 0.500 0.500 0.500
P 0.000 0.500 0.500
P 0.500 0.000 0.500
O 0.500 0.500 0.000
```

2.
Pm5DyTm12: optimized geometry, PBE. Values from VASP.

Properties
Formation energy from the elements   0.0229 eV per atom
Space group   C2/m
Raw total energy   -0.1666 Ha/atom
Calculated density   8.6 g/cm³

```
&SYSTEM
  ibrav = 0, nat = 18, ntyp = 3
/
ATOMIC_SPECIES
Pm 145.00 Pm.upf
Dy 162.50 Dy.upf
Tm 168.93 Tm.upf
CELL_PARAMETERS angstrom
9.178 -5.291 0.000
9.178 5.291 0.000
-2.021 0.000 5.779
ATOMIC_POSITIONS crystal
Pm 0.000 0.000 0.000
Pm 0.167 0.167 0.500
Pm 0.334 0.334 0.001
Pm 0.666 0.666 0.999
Pm 0.833 0.833 0.500
Dy 0.500 0.500 0.500
Tm 0.002 0.665 0.000
Tm 0.166 0.501 0.501
Tm 0.169 0.831 0.500
Tm 0.333 0.667 0.000
Tm 0.335 0.998 0.000
Tm 0.499 0.834 0.499
Tm 0.501 0.166 0.501
Tm 0.665 0.002 0.000
Tm 0.667 0.333 0.000
Tm 0.831 0.169 0.500
Tm 0.834 0.499 0.499
Tm 0.998 0.335 0.000
```

3.
NdEr5Tm5: optimized geometry, PBE. Values from VASP.

Properties
Formation energy from the elements   0.3241 eV per atom
Space group   P-6m2
Raw total energy   -0.1549 Ha/atom
Calculated density   8.5 g/cm³
Relative energy among the computed polymorphs   181 meV/atom

```
&SYSTEM
  ibrav = 0, nat = 11, ntyp = 3
/
ATOMIC_SPECIES
Nd 144.24 Nd.upf
Er 167.26 Er.upf
Tm 168.93 Tm.upf
CELL_PARAMETERS angstrom
5.990 0.000 0.000
-2.995 5.188 0.000
0.000 0.000 11.525
ATOMIC_POSITIONS crystal
Nd 0.000 0.000 0.000
Er 0.000 0.000 0.324
Er 0.000 0.000 0.676
Er 0.333 0.667 0.157
Er 0.333 0.667 0.843
Er 0.667 0.333 0.000
Tm 0.001 0.500 0.500
Tm 0.500 0.500 0.500
Tm 0.500 0.999 0.500
Tm 0.667 0.333 0.265
Tm 0.667 0.333 0.735
```

4.
Zn2Ga2Ni7: optimized geometry, PBE. Values from VASP.

Properties
Formation energy from the elements   0.0980 eV per atom
Space group   Cmmm
Raw total energy   -0.1603 Ha/atom
Calculated density   7.8 g/cm³

```
&SYSTEM
  ibrav = 0, nat = 11, ntyp = 3
/
ATOMIC_SPECIES
Zn 65.41 Zn.upf
Ga 69.72 Ga.upf
Ni 58.69 Ni.upf
CELL_PARAMETERS angstrom
2.533 -4.273 0.000
2.533 4.273 0.000
0.000 0.000 6.683
ATOMIC_POSITIONS crystal
Zn 0.225 0.775 0.000
Zn 0.775 0.225 0.000
Ga 0.258 0.258 0.500
Ga 0.742 0.742 0.500
Ni 0.000 0.000 0.204
Ni 0.000 0.000 0.796
Ni 0.000 0.500 0.314
Ni 0.000 0.500 0.686
Ni 0.500 0.000 0.314
Ni 0.500 0.000 0.686
Ni 0.500 0.500 0.000
```

5.
Re3Te: optimized geometry, PBE. Values from VASP.

Properties
Space group   P-6m2
Raw total energy   -0.3479 Ha/atom
Formation energy from raw total energies   0.6545 eV/atom
Calculated density   16.7 g/cm³
Relative energy among the computed polymorphs   120 meV/atom

```
&SYSTEM
  ibrav = 0, nat = 4, ntyp = 2
/
ATOMIC_SPECIES
Re 186.21 Re.upf
Te 127.60 Te.upf
CELL_PARAMETERS angstrom
2.900 0.000 0.000
-1.450 2.511 0.000
0.000 0.000 9.352
ATOMIC_POSITIONS crystal
Re 0.000 0.000 0.000
Re 0.333 0.667 0.225
Re 0.333 0.667 0.775
Te 0.000 0.000 0.500
```

6.
PmPaMo4: optimized geometry, PBE. Values from VASP.

Properties
Formation energy from the elements   0.1713 eV per atom
Space group   F-43m
Raw total energy   -0.3463 Ha/atom
Calculated density   10.5 g/cm³

```
&SYSTEM
  ibrav = 0, nat = 6, ntyp = 3
/
ATOMIC_SPECIES
Pm 145.00 Pm.upf
Pa 231.04 Pa.upf
Mo 95.94 Mo.upf
CELL_PARAMETERS angstrom
0.000 3.915 3.915
3.915 0.000 3.915
3.915 3.915 0.000
ATOMIC_POSITIONS crystal
Pm 0.000 0.000 0.000
Pa 0.750 0.750 0.750
Mo 0.375 0.375 0.375
Mo 0.375 0.375 0.874
Mo 0.375 0.874 0.375
Mo 0.874 0.375 0.375
```

7.
SrAuO2: optimized geometry, PBE. Values from VASP.

Properties
Space group   I-42d
Raw total energy   -0.1762 Ha/atom
Formation energy from raw total energies   -1.0754 eV/atom
Calculated density   7.1 g/cm³

```
&SYSTEM
  ibrav = 0, nat = 8, ntyp = 3
/
ATOMIC_SPECIES
Sr 87.62 Sr.upf
Au 196.97 Au.upf
O 16.00 O.upf
CELL_PARAMETERS angstrom
-2.410 2.410 6.332
2.410 -2.410 6.332
2.410 2.410 -6.332
ATOMIC_POSITIONS crystal
Sr 0.000 0.000 0.000
Sr 0.750 0.250 0.500
Au 0.250 0.750 0.500
Au 0.500 0.500 0.000
O 0.171 0.625 0.046
O 0.375 0.421 0.546
O 0.579 0.125 0.954
O 0.875 0.829 0.454
```

8.
PtAuBr2: optimized geometry, PBE. Values from VASP.

Properties
Space group   I-42d
Raw total energy   -0.1007 Ha/atom
Formation energy from raw total energies   0.4269 eV/atom
Calculated density   8.1 g/cm³
Relative energy among the computed polymorphs   402 meV/atom

```
&SYSTEM
  ibrav = 0, nat = 8, ntyp = 3
/
ATOMIC_SPECIES
Pt 195.08 Pt.upf
Au 196.97 Au.upf
Br 79.90 Br.upf
CELL_PARAMETERS angstrom
-3.096 3.096 5.881
3.096 -3.096 5.881
3.096 3.096 -5.881
ATOMIC_POSITIONS crystal
Pt 0.000 0.000 0.000
Pt 0.750 0.250 0.500
Au 0.250 0.750 0.500
Au 0.500 0.500 0.000
Br 0.100 0.625 0.975
Br 0.375 0.350 0.475
Br 0.650 0.125 0.025
Br 0.875 0.900 0.525
```

9.
RbH2S: optimized geometry, PBE. Values from VASP.

Properties
Space group   I4_1/amd
Raw total energy   -0.1037 Ha/atom
Calculated density   2.9 g/cm³
Relative energy among the computed polymorphs   128 meV/atom

```
&SYSTEM
  ibrav = 0, nat = 8, ntyp = 3
/
ATOMIC_SPECIES
Rb 85.47 Rb.upf
H 1.01 H.upf
S 32.06 S.upf
CELL_PARAMETERS angstrom
-2.325 2.325 6.392
2.325 -2.325 6.392
2.325 2.325 -6.392
ATOMIC_POSITIONS crystal
Rb 0.375 0.625 0.750
Rb 0.625 0.375 0.250
H 0.000 0.000 0.000
H 0.000 0.000 0.500
H 0.000 0.500 0.000
H 0.500 0.000 0.500
S 0.125 0.875 0.250
S 0.875 0.125 0.750
```

10.
AlRh3Cl: optimized geometry, PBE. Values from VASP.

Properties
Space group   Pm-3m
Raw total energy   -0.1717 Ha/atom
Formation energy from raw total energies   0.8573 eV/atom
Calculated density   6.4 g/cm³
Relative energy among the computed polymorphs   270 meV/atom

```
&SYSTEM
  ibrav = 0, nat = 5, ntyp = 3
/
ATOMIC_SPECIES
Al 26.98 Al.upf
Rh 102.91 Rh.upf
Cl 35.45 Cl.upf
CELL_PARAMETERS angstrom
4.590 0.000 0.000
0.000 4.590 0.000
0.000 0.000 4.590
ATOMIC_POSITIONS crystal
Al 0.000 0.000 0.000
Rh 0.000 0.000 0.500
Rh 0.000 0.500 0.000
Rh 0.500 0.000 0.000
Cl 0.500 0.500 0.500
```

11.
Ni2MoRh: optimized geometry, PBE. Values from VASP.

Properties
Formation energy from the elements   -0.1292 eV per atom
Space group   I-4m2
Raw total energy   -0.2780 Ha/atom
Calculated density   10.2 g/cm³
Relative energy among the computed polymorphs   0 meV/atom

```
&SYSTEM
  ibrav = 0, nat = 4, ntyp = 3
/
ATOMIC_SPECIES
Ni 58.69 Ni.upf
Mo 95.94 Mo.upf
Rh 102.91 Rh.upf
CELL_PARAMETERS angstrom
-1.845 1.845 3.783
1.845 -1.845 3.783
1.845 1.845 -3.783
ATOMIC_POSITIONS crystal
Ni 0.000 0.000 0.000
Ni 0.750 0.250 0.500
Mo 0.250 0.750 0.500
Rh 0.500 0.500 0.000
```

12.
Tb2NdSc: optimized geometry, PBE. Values from VASP.

Properties
Formation energy from the elements   0.0424 eV per atom
Space group   P-1
Raw total energy   -0.1855 Ha/atom
Calculated density   6.9 g/cm³
Relative energy among the computed polymorphs   2 meV/atom

```
&SYSTEM
  ibrav = 0, nat = 8, ntyp = 3
/
ATOMIC_SPECIES
Tb 158.93 Tb.upf
Nd 144.24 Nd.upf
Sc 44.96 Sc.upf
CELL_PARAMETERS angstrom
6.104 0.000 0.000
0.006 7.001 0.000
2.012 3.493 5.745
ATOMIC_POSITIONS crystal
Tb 0.250 0.123 0.250
Tb 0.250 0.628 0.249
Tb 0.750 0.372 0.751
Tb 0.750 0.877 0.750
Nd 0.256 0.626 0.748
Nd 0.744 0.374 0.252
Sc 0.241 0.122 0.756
Sc 0.759 0.878 0.244
```

> Which formula does entry 8 have?

PtAuBr2

> Among the records above, which one has the highest raw total energy?

PtAuBr2

> Which value of calculated density does entry 6 give?

10.5 g/cm³